Entry from Alexandria: an optimized crystal structure of LaPr3Sm2Se6 (PBE).

a b c (Å): 7.353 7.353 7.358
angles (deg): 99.58 99.58 120.22
Fractional coordinates of all 12 atoms:
1 La 0.000 0.000 0.000
2 Pr 0.165 0.835 0.500
3 Pr 0.835 0.165 0.500
4 Pr 0.500 0.500 0.500
5 Sm 0.333 0.667 0.000
6 Sm 0.667 0.333 0.000
7 Se 0.918 0.579 0.754
8 Se 0.742 0.742 0.243
9 Se 0.082 0.421 0.246
10 Se 0.579 0.918 0.754
11 Se 0.258 0.258 0.757
12 Se 0.421 0.082 0.246

Output
calculated total energy = -72.0 eV per cell
formation energy from raw total energies = -179.9 kJ per mole of atoms
volume = 324 Å³/cell

Entry from Alexandria: an optimized crystal structure of LaPr3Sm4Se8 (PBE).

a b c (Å): 8.434 8.473 8.433
angles (deg): 119.84 120.00 90.00
Fractional coordinates of all 16 atoms:
1 La 0.000 0.500 0.000
2 Pr 0.500 0.500 0.000
3 Pr 0.500 0.500 0.500
4 Pr 0.000 0.500 0.500
5 Sm 0.500 0.000 0.000
6 Sm 0.500 0.000 0.500
7 Sm 0.000 0.000 0.000
8 Sm 0.000 0.000 0.500
9 Se 0.253 0.759 0.006
10 Se 0.253 0.759 0.507
11 Se 0.247 0.241 0.494
12 Se 0.752 0.759 0.006
13 Se 0.248 0.241 0.994
14 Se 0.753 0.759 0.506
15 Se 0.747 0.241 0.493
16 Se 0.747 0.241 0.994

Output
calculated total energy = -95.6 eV per cell
formation energy from raw total energies = -178.3 kJ per mole of atoms
volume = 427 Å³/cell

Entry from Alexandria: an optimized crystal structure of La3PrSm2Se6 (PBE).

a b c (Å): 7.383 7.383 7.370
angles (deg): 99.61 99.61 120.15
Fractional coordinates of all 12 atoms:
1 La 0.165 0.835 0.500
2 La 0.835 0.165 0.500
3 La 0.500 0.500 0.500
4 Pr 0.000 0.000 0.000
5 Sm 0.333 0.667 0.000
6 Sm 0.667 0.333 0.000
7 Se 0.919 0.581 0.757
8 Se 0.742 0.742 0.241
9 Se 0.081 0.419 0.243
10 Se 0.581 0.919 0.757
11 Se 0.258 0.258 0.759
12 Se 0.419 0.081 0.243

Output
calculated total energy = -72.9 eV per cell
formation energy from raw total energies = -185.3 kJ per mole of atoms
volume = 327 Å³/cell